1.
A plane-wave DFT calculation with PBE was carried out for crystalline LiMoOs2Ru at its relaxed geometry.

formation energy = 2.0550 eV per atom
V = 92.84 Å³/f.u.

abc: 4.6202 4.3492 4.6202
angles: 90.00 90.00 90.00
Closest atoms and distances in Å follow each position.
Atoms (fractional coordinates):
Os 0.5000 0.0000 0.0000  2 Mo 2.31
Os 0.0000 0.0000 0.5000  2 Mo 2.31
Mo 0.0000 0.0000 0.0000  2 Li 2.17, 4 Os 2.31
Ru 0.5000 0.5000 0.5000  8 Os 3.17, 4 Li 3.27
Li 0.0000 0.5000 0.0000  2 Mo 2.17

=====

2.
A plane-wave DFT calculation with PBE was carried out for crystalline ScNiAsC2 at its relaxed geometry.

formation energy = 0.9750 eV per atom
V = 72.48 Å³/f.u.

abc: 3.7036 5.2844 3.7036
angles: 90.00 90.00 90.00
Closest atoms and distances in Å follow each position.
Atoms (fractional coordinates):
Ni 0.0000 0.0000 0.0000  4 C 1.85
Sc 0.0000 0.5000 0.0000  4 As 2.62, 2 Ni 2.64
C 0.0000 0.0000 0.5000  2 Ni 1.85
C 0.5000 0.0000 0.0000  2 Ni 1.85
As 0.5000 0.5000 0.5000  4 Sc 2.62